1.
A geometry-optimized BiSbS3 structure. Source: Alexandria, functional GGA-PBE.

Summary:
Formation energy from raw total energies = -300 meV per atom
Relative energy among the computed polymorphs = 0.005 eV per atom
Theoretical density = 5.38 g/cm3

a b c (Å): 11.885 3.957 11.207
angles (deg): 90.00 90.00 90.00
Space group Pnma (No. 62)
Asymmetric unit:
Bi: 0.016 0.250 0.169 (multiplicity 4)
Sb: 0.146 0.750 0.461 (multiplicity 4)
S: 0.046 0.250 0.626 (multiplicity 4)
S: 0.123 0.750 0.055 (multiplicity 4)
S: 0.203 0.250 0.313 (multiplicity 4)

***

2.
A geometry-optimized YUTe3 structure. Source: Alexandria, functional GGA-PBE.

Summary:
Formation energy from raw total energies = -958 meV per atom
Theoretical density = 6.55 g/cm3

a b c (Å): 7.636 4.355 11.097
angles (deg): 90.00 102.74 90.00
Space group P2_1/m (No. 11)
Asymmetric unit:
Y: 0.234 0.250 0.491 (multiplicity 2)
U: 0.366 0.250 0.848 (multiplicity 2)
Te: 0.021 0.750 0.329 (multiplicity 2)
Te: 0.247 0.750 0.004 (multiplicity 2)
Te: 0.464 0.750 0.661 (multiplicity 2)

***

3.
A geometry-optimized Li4TlPt structure. Source: Alexandria, functional GGA-PBE.

Summary:
Energy of formation = -330.5 meV per atom
Relative energy among the computed polymorphs = 0.000 eV per atom
Theoretical density = 7.13 g/cm3

a b c (Å): 2.937 4.381 7.732
angles (deg): 90.00 90.06 90.00
Space group Pm (No. 6)
Asymmetric unit:
Li: 0.000 0.000 0.000 (multiplicity 1)
Li: 0.001 0.500 0.180 (multiplicity 1)
Li: 0.002 0.000 0.588 (multiplicity 1)
Li: 0.503 0.500 0.459 (multiplicity 1)
Tl: 0.500 0.500 0.822 (multiplicity 1)
Pt: 0.501 0.000 0.291 (multiplicity 1)

***

4.
A geometry-optimized PmGdHo2 structure. Source: Alexandria, functional GGA-PBE.

Summary:
Energy of formation = 24.0 meV per atom
Relative energy among the computed polymorphs = 0.007 eV per atom
Theoretical density = 8.16 g/cm3

a b c (Å): 3.577 3.577 10.057
angles (deg): 90.00 90.00 90.00
Space group P4/mmm (No. 123)
Asymmetric unit:
Pm: 0.000 0.000 0.000 (multiplicity 1)
Gd: 0.000 0.000 0.500 (multiplicity 1)
Ho: 0.500 0.500 0.251 (multiplicity 2)

***

5.
A geometry-optimized AlCrCd structure. Source: Alexandria, functional GGA-PBE.

Summary:
Energy of formation = 221.6 meV per atom
Relative energy among the computed polymorphs = 0.000 eV per atom
Theoretical density = 6.19 g/cm3

a b c (Å): 11.906 2.984 2.984
angles (deg): 90.00 104.38 90.00
Space group Cm (No. 8)
Asymmetric unit:
Al: 0.000 0.000 0.000 (multiplicity 2)
Cr: 0.130 0.500 0.629 (multiplicity 2)
Cd: 0.305 0.000 0.303 (multiplicity 2)

***

6.
A geometry-optimized HfCBr2 structure. Source: Alexandria, functional GGA-PBE.

Summary:
Formation energy from raw total energies = 177 meV per atom
Relative energy among the computed polymorphs = 0.000 eV per atom
Theoretical density = 5.39 g/cm3

a b c (Å): 10.046 10.046 4.277
angles (deg): 90.00 90.00 90.00
Space group I-42d (No. 122)
Asymmetric unit:
Hf: 0.000 0.000 0.000 (multiplicity 4)
C: 0.000 0.000 0.500 (multiplicity 4)
Br: 0.088 0.750 0.125 (multiplicity 8)

***

7.
A geometry-optimized CdGePb structure. Source: Alexandria, functional GGA-PBE.

Summary:
Energy of formation = 162.4 meV per atom
Relative energy among the computed polymorphs = 0.029 eV per atom
Theoretical density = 7.79 g/cm3

a b c (Å): 6.942 6.942 6.942
angles (deg): 90.00 90.00 90.00
Space group F-43m (No. 216)
Asymmetric unit:
Cd: 0.000 0.000 0.000 (multiplicity 4)
Ge: 0.250 0.250 0.250 (multiplicity 4)
Pb: 0.000 0.000 0.500 (multiplicity 4)

***

8.
A geometry-optimized SrScO3 structure. Source: Alexandria, functional GGA-PBE.

Summary:
Formation energy from raw total energies = -997 meV per atom
Theoretical density = 3.64 g/cm3

a b c (Å): 4.353 4.353 4.353
angles (deg): 90.00 90.00 90.00
Space group Pm-3m (No. 221)
Asymmetric unit:
Sr: 0.000 0.000 0.000 (multiplicity 1)
Sc: 0.500 0.500 0.500 (multiplicity 1)
O: 0.000 0.000 0.500 (multiplicity 3)

***

9.
A geometry-optimized Cs2SbSBr3 structure. Source: Alexandria, functional GGA-PBE.

Summary:
Formation energy from raw total energies = -1132 meV per atom
Theoretical density = 3.92 g/cm3

a b c (Å): 5.245 5.789 18.399
angles (deg): 90.00 90.00 90.00
Space group Immm (No. 71)
Asymmetric unit:
Cs: 0.000 0.000 0.139 (multiplicity 4)
Sb: 0.000 0.000 0.500 (multiplicity 2)
S: 0.000 0.500 0.000 (multiplicity 2)
Br: 0.000 0.000 0.341 (multiplicity 4)
Br: 0.000 0.500 0.500 (multiplicity 2)

***

10.
A geometry-optimized Pm3PuS4 structure. Source: Alexandria, functional GGA-PBE.

Summary:
Formation energy from raw total energies = -1982 meV per atom
Theoretical density = 7.34 g/cm3

a b c (Å): 4.0140 4.0140 39.2797
angles (deg): 90.00 90.00 120.00
Space group R-3m (No. 166, hexagonal axes)
Asymmetric unit:
Pm: 0.0000 0.0000 0.0000 (multiplicity 3)
Pm: 0.0000 0.0000 0.2488 (multiplicity 6)
Pu: 0.0000 0.0000 0.5000 (multiplicity 3)
S: 0.0000 0.0000 0.1269 (multiplicity 6)
S: 0.0000 0.0000 0.3755 (multiplicity 6)

***

11.
A geometry-optimized AuS4Cl2 structure. Source: Alexandria, functional GGA-PBE.

Summary:
Formation energy from raw total energies = 15 meV per atom
Theoretical density = 2.66 g/cm3

a b c (Å): 7.020 8.437 9.637
angles (deg): 106.00 90.02 114.52
Space group P1 (No. 1)
Asymmetric unit:
Au: 0.000 0.000 0.000 (multiplicity 1)
Au: 0.441 0.999 0.500 (multiplicity 1)
S: 0.337 0.694 0.343 (multiplicity 1)
S: 0.538 0.652 0.740 (multiplicity 1)
S: 0.556 0.652 0.240 (multiplicity 1)
S: 0.752 0.068 0.394 (multiplicity 1)
S: 0.757 0.068 0.894 (multiplicity 1)
S: 0.799 0.695 0.843 (multiplicity 1)
S: 0.837 0.322 0.991 (multiplicity 1)
S: 0.926 0.321 0.492 (multiplicity 1)
Cl: 0.242 0.091 0.665 (multiplicity 1)
Cl: 0.290 0.091 0.165 (multiplicity 1)
Cl: 0.293 0.586 0.869 (multiplicity 1)
Cl: 0.735 0.586 0.369 (multiplicity 1)

***

12.
A geometry-optimized In3BiMo structure. Source: Alexandria, functional GGA-PBE.

Summary:
Energy of formation = 1386.6 meV per atom
Relative energy among the computed polymorphs = 0.716 eV per atom
Theoretical density = 5.45 g/cm3

a b c (Å): 5.825 5.825 5.825
angles (deg): 90.00 90.00 90.00
Space group Pm-3m (No. 221)
Asymmetric unit:
In: 0.000 0.000 0.500 (multiplicity 3)
Bi: 0.000 0.000 0.000 (multiplicity 1)
Mo: 0.500 0.500 0.500 (multiplicity 1)

***

13.
A geometry-optimized LiCe2Se4 structure. Source: Alexandria, functional GGA-PBE.

Summary:
Formation energy from raw total energies = -1613 meV per atom
Relative energy among the computed polymorphs = 0.000 eV per atom
Theoretical density = 4.67 g/cm3

a b c (Å): 8.466 8.466 11.969
angles (deg): 90.00 90.00 90.00
Space group I-42d (No. 122)
Asymmetric unit:
Li: 0.000 0.000 0.000 (multiplicity 4)
Ce: 0.001 0.750 0.625 (multiplicity 8)
Se: 0.001 0.737 0.869 (multiplicity 16)

***

14.
A geometry-optimized Mn2ReAs structure. Source: Alexandria, functional GGA-PBE.

Summary:
Energy of formation = 170.5 meV per atom
Theoretical density = 11.67 g/cm3

a b c (Å): 3.797 3.797 7.323
angles (deg): 90.00 90.00 90.00
Space group I-4m2 (No. 119)
Asymmetric unit:
Mn: 0.000 0.000 0.000 (multiplicity 2)
Mn: 0.000 0.500 0.250 (multiplicity 2)
Re: 0.000 0.500 0.750 (multiplicity 2)
As: 0.000 0.000 0.500 (multiplicity 2)

***

15.
A geometry-optimized K2IrBr5 structure. Source: Alexandria, functional GGA-PBE.

Summary:
Formation energy from raw total energies = -898 meV per atom
Theoretical density = 3.99 g/cm3

a b c (Å): 7.740 7.740 9.307
angles (deg): 90.00 90.00 90.00
Space group I4mm (No. 107)
Asymmetric unit:
K: 0.000 0.500 0.000 (multiplicity 4)
Ir: 0.000 0.000 0.264 (multiplicity 2)
Br: 0.000 0.000 0.521 (multiplicity 2)
Br: 0.227 0.227 0.247 (multiplicity 8)

***

16.
A geometry-optimized CsRb2PtAu structure. Source: Alexandria, functional GGA-PBE.

Summary:
Energy of formation = 7.9 meV per atom
Relative energy among the computed polymorphs = 0.027 eV per atom
Theoretical density = 5.36 g/cm3

a b c (Å): 6.313 6.313 5.409
angles (deg): 90.00 90.00 90.00
Space group P4/mmm (No. 123)
Asymmetric unit:
Cs: 0.000 0.000 0.000 (multiplicity 1)
Rb: 0.000 0.500 0.500 (multiplicity 2)
Pt: 0.500 0.500 0.500 (multiplicity 1)
Au: 0.500 0.500 0.000 (multiplicity 1)

***

17.
A geometry-optimized LaPrCoI structure. Source: Alexandria, functional GGA-PBE.

Summary:
Formation energy from raw total energies = -620 meV per atom
Theoretical density = 6.45 g/cm3

a b c (Å): 7.104 4.094 8.573
angles (deg): 90.00 105.91 90.00
Space group Cm (No. 8)
Asymmetric unit:
La: 0.000 0.000 0.000 (multiplicity 2)
Pr: 0.289 0.500 0.364 (multiplicity 2)
Co: 0.392 0.000 0.174 (multiplicity 2)
I: 0.061 0.500 0.679 (multiplicity 2)

***

18.
A geometry-optimized NdTh2Zr structure. Source: Alexandria, functional GGA-PBE.

Summary:
Energy of formation = 125.2 meV per atom
Relative energy among the computed polymorphs = 0.019 eV per atom
Theoretical density = 9.57 g/cm3

a b c (Å): 3.5052 3.5052 34.2299
angles (deg): 90.00 90.00 120.00
Space group R3m (No. 160, hexagonal axes)
Asymmetric unit:
Nd: 0.0000 0.0000 0.0000 (multiplicity 3)
Th: 0.0000 0.0000 0.5809 (multiplicity 3)
Th: 0.0000 0.0000 0.7563 (multiplicity 3)
Zr: 0.0000 0.0000 0.1696 (multiplicity 3)

***

19.
A geometry-optimized PmDyTm6 structure. Source: Alexandria, functional GGA-PBE.

Summary:
Energy of formation = 128.4 meV per atom
Relative energy among the computed polymorphs = 0.000 eV per atom
Theoretical density = 8.85 g/cm3

a b c (Å): 7.371 11.603 5.796
angles (deg): 90.00 90.00 90.00
Space group Cmmm (No. 65)
Asymmetric unit:
Pm: 0.000 0.000 0.000 (multiplicity 2)
Dy: 0.000 0.500 0.000 (multiplicity 2)
Tm: 0.000 0.247 0.500 (multiplicity 4)
Tm: 0.244 0.500 0.500 (multiplicity 4)
Tm: 0.250 0.250 0.000 (multiplicity 4)

***

20.
A geometry-optimized AlTeOsN2 structure. Source: Alexandria, functional GGA-PBE.

Summary:
Formation energy from raw total energies = 649 meV per atom
Relative energy among the computed polymorphs = 0.000 eV per atom
Theoretical density = 7.22 g/cm3

a b c (Å): 3.870 3.870 5.727
angles (deg): 90.00 90.00 90.00
Space group P4/mmm (No. 123)
Asymmetric unit:
Al: 0.000 0.000 0.000 (multiplicity 1)
Te: 0.500 0.500 0.000 (multiplicity 1)
Os: 0.500 0.500 0.500 (multiplicity 1)
N: 0.000 0.500 0.500 (multiplicity 2)